[1]
Here is crystalline PaFeSi2Ni at its relaxed geometry from Alexandria via LeMat-Bulk. Energies are from PBE.

a b c (Å): 3.971 3.971 5.530
angles (deg): 111.04 111.04 90.00
Fractional coordinates of all 5 atoms:
Pa 0.000 0.000 0.000
Si 0.373 0.373 0.746
Si 0.627 0.627 0.254
Ni 0.750 0.250 0.500
Fe 0.250 0.750 0.500

Energy relative to the elements, uncorrected (eV/atom): -0.6919
Fermi-level density of states (states/eV/f.u.): 4.745
Total magnetization (μB per atom): 0.24
Total DFT energy (no corrections) (eV/atom): -7.609



[2]
Here is crystalline TbPaFeNi at its relaxed geometry from Alexandria via LeMat-Bulk. Energies are from PBE.

a b c (Å): 4.737 4.737 4.737
angles (deg): 60.00 60.00 60.00
Fractional coordinates of all 4 atoms:
Pa 0.500 0.500 0.500
Fe 0.750 0.750 0.750
Ni 0.250 0.250 0.250
Tb 0.000 0.000 0.000

Fermi-level density of states (states/eV/f.u.): 5.886
Total magnetization (μB per atom): 0.11
Total DFT energy (no corrections) (eV/atom): -7.139